Material: POs
Method: DFT, SCAN
State: PBEsol geometry

Unit cell a=2.8792 b=3.6558 c=4.9929 alpha=90.00 beta=90.00 gamma=90.00
Fractional positions:
1 P 0.2500 0.2500 0.1699
2 P 0.7500 0.7500 0.8301
3 Os 0.2500 0.2500 0.6865
4 Os 0.7500 0.7500 0.3135

## Properties
Its crystal system is orthorhombic. The calculation puts the formation energy at -0.026 eV per formula unit. The volume comes out at 13.1 Å³/atom.